First-principles (PBE-GGA) data for a relaxed NaFe crystal, as listed in Alexandria.

Summary:
energy relative to the elements = 169 kJ/mol of formula units
symmetry = No. 70

POSCAR file:
```
NaFe
1.0
5.474 0.000 0.000
0.000 13.938 0.000
0.000 0.000 8.411
Na Fe
16 16
Cartesian
1.369 3.484 0.745
0.000 0.000 5.563
4.106 10.453 0.745
2.737 0.000 1.358
4.106 3.484 7.666
1.369 10.453 4.950
2.737 6.969 5.563
4.106 10.453 3.460
0.000 0.000 2.848
1.369 10.453 7.666
0.000 6.969 7.053
4.106 3.484 4.950
1.369 3.484 3.460
2.737 6.969 2.848
2.737 0.000 7.053
0.000 6.969 1.358
4.106 9.357 6.308
4.106 4.581 2.103
2.737 1.096 4.205
0.000 5.873 4.205
1.369 4.581 6.308
1.369 9.357 2.103
4.106 2.388 2.103
1.369 2.388 6.308
2.737 8.065 0.000
0.000 8.065 4.205
2.737 5.873 0.000
1.369 11.549 2.103
0.000 12.841 0.000
0.000 1.096 0.000
2.737 12.841 4.205
4.106 11.549 6.308
```

First-principles (PBE-GGA) data for a relaxed Ba3HgO crystal, as listed in Alexandria.

Summary:
raw formation energy = -1150.3 meV/atom
symmetry = No. 221
energy relative to the lowest polymorph listed for this composition = 0.0 meV per atom

POSCAR file:
```
Ba3HgO
1.0
5.542 0.000 0.000
0.000 5.542 0.000
0.000 0.000 5.542
Ba Hg O
3 1 1
Cartesian
0.000 2.771 0.000
2.771 0.000 0.000
0.000 0.000 2.771
2.771 2.771 2.771
0.000 0.000 0.000
```

First-principles (PBE-GGA) data for a relaxed RbPaAuS4 crystal, as listed in Alexandria.

Summary:
raw formation energy = -1026.6 meV/atom
symmetry = No. 11

POSCAR file:
```
RbPaAuS4
1.0
-1.544 5.758 -3.716
2.706 -2.059 -4.315
-7.056 -6.868 -1.148
S Au Rb Pa
8 2 2 2
Cartesian
-5.908 -3.167 -3.942
-2.667 -2.991 -5.492
-3.227 -0.178 -3.687
-2.177 -6.475 -5.164
-3.448 -5.509 -3.138
0.014 -0.002 -5.237
-2.446 2.339 -6.041
-3.717 3.306 -4.015
-0.279 -2.164 -4.388
-5.615 -1.005 -4.791
0.008 0.714 -2.084
-5.902 -3.884 -7.095
-2.273 -0.469 -6.448
-3.621 -2.701 -2.731
```

First-principles (PBE-GGA) data for a relaxed Dy2MgHg5 crystal, as listed in Alexandria.

Summary:
energy relative to the elements = -231 kJ/mol of formula units
symmetry = No. 139

POSCAR file:
```
Dy2MgHg5
1.0
5.004 0.000 0.000
0.000 5.004 0.000
-2.502 -2.502 7.635
Hg Dy Mg
5 2 1
Cartesian
2.502 0.000 1.860
2.502 2.502 0.000
0.000 2.502 5.775
0.000 2.502 1.860
2.502 0.000 5.775
2.502 2.502 3.767
0.000 0.000 3.868
0.000 0.000 0.000
```

First-principles (PBE-GGA) data for a relaxed K2TlAu2 crystal, as listed in Alexandria.

Summary:
energy relative to the elements = -33 kJ/mol of formula units
symmetry = No. 127
energy relative to the lowest polymorph listed for this composition = 214.3 meV per atom

POSCAR file:
```
K2TlAu2
1.0
-4.550 -0.935 -8.337
-7.572 -3.625 4.539
-1.315 3.195 0.359
K Au Tl
4 4 2
Cartesian
-3.920 -1.086 -4.684
-3.376 -1.448 0.522
-8.202 -3.474 0.886
-8.746 -3.113 -4.320
-10.012 -2.057 -1.548
-7.018 -0.407 -5.269
-6.418 -0.958 1.830
-3.425 0.692 -1.890
-6.061 -2.280 -1.899
0.000 0.000 0.000
```

First-principles (PBE-GGA) data for a relaxed PaNb2HgO8 crystal, as listed in Alexandria.

Summary:
raw formation energy = -2402.3 meV/atom
symmetry = No. 164

POSCAR file:
```
PaNb2HgO8
1.0
6.189 0.000 0.000
-3.095 5.360 0.000
0.000 0.000 7.092
O Nb Hg Pa
8 2 1 1
Cartesian
4.666 0.879 1.287
0.000 3.573 3.397
-1.572 4.481 5.806
3.095 3.602 1.287
1.523 0.879 1.287
1.572 4.481 5.806
3.095 1.787 3.695
0.000 1.759 5.806
3.095 1.787 1.924
0.000 3.573 5.168
0.000 0.000 3.546
0.000 0.000 0.000
```

Across the entries above, total energy takes the values -128.519 -16.780 -74.874 -14.702 -22.913 -98.431 eV/cell, respectively.